# HgPt2Rh (PBE, relaxed)
# - D(E_F) (states/eV/cell) = 28.69
# - energy (eV/atom) = -4.75
data_HgPt2Rh
_chemical_formula_sum 'Hg4 Pt8 Rh4'
_cell_length_a 6.430
_cell_length_b 6.430
_cell_length_c 6.430
_cell_angle_alpha 90.00
_cell_angle_beta 90.00
_cell_angle_gamma 90.00
_space_group_name_H-M_alt 'F -4 3 m'
_space_group_IT_number 216
_space_group_name_Hall 'F -4 2 3'
loop_
_atom_site_label
_atom_site_type_symbol
_atom_site_fract_x
_atom_site_fract_y
_atom_site_fract_z
Hg1 Hg 0.000 0.000 0.000
Pt1 Pt 0.000 0.000 0.500
Pt2 Pt 0.250 0.250 0.750
Rh1 Rh 0.250 0.250 0.250